1.
Entry from Alexandria via LeMat-Bulk: a geometry-optimized ZrCdSi2 structure (PBE).

Cell: 5.435 5.435 5.435 Å, 137.90 137.90 61.05°
Positions (direct):
1 Si 0.250 0.750 0.500
2 Si 0.000 0.000 0.000
3 Cd 0.750 0.250 0.500
4 Zr 0.500 0.500 0.000

Results
SG = I-4m2 (119)
ΔE_f (raw) = -0.17 eV per atom

2.
Entry from Alexandria via LeMat-Bulk: a geometry-optimized Er6Sb3H structure (PBE).

Cell: 6.153 9.382 9.382 Å, 104.80 90.00 90.00°
Positions (direct):
1 Sb 0.021 0.758 0.962
2 Er 0.664 0.639 0.743
3 Er 0.021 0.082 0.918
4 Sb 0.021 0.038 0.242
5 H 0.079 0.226 0.774
6 Sb 0.335 0.415 0.585
7 Er 0.233 0.730 0.270
8 Er 0.723 0.907 0.452
9 Er 0.723 0.548 0.093
10 Er 0.164 0.743 0.639
11 Er 0.521 0.918 0.082
12 Sb 0.835 0.585 0.415
13 Er 0.223 0.452 0.907
14 Er 0.733 0.270 0.730
15 Sb 0.521 0.962 0.758
16 H 0.579 0.774 0.226
17 Sb 0.521 0.242 0.038
18 Er 0.164 0.361 0.257
19 Er 0.664 0.257 0.361
20 Er 0.223 0.093 0.548

Results
Uncorrected energy = -98.43 eV for the cell shown
SG = Cmc2_1 (36)

3.
Entry from Alexandria via LeMat-Bulk: a geometry-optimized TbPmPr4Ho2 structure (PBE).

Cell: 5.189 5.161 11.411 Å, 63.06 90.00 90.00°
Positions (direct):
1 Pm 0.500 0.500 0.000
2 Ho 0.500 0.000 0.500
3 Tb 0.000 0.500 0.500
4 Pr 0.000 0.249 0.251
5 Pr 0.500 0.748 0.252
6 Pr 0.500 0.252 0.748
7 Ho 0.000 0.000 0.000
8 Pr 0.000 0.751 0.749

Results
SG = P2/m (10)
ΔH_f (0 K) = 1.5 kJ per mole of atoms

4.
Entry from Alexandria via LeMat-Bulk: a geometry-optimized Ac2LaOsN5 structure (PBE).

Cell: 7.133 7.133 7.793 Å, 117.23 117.23 90.00°
Positions (direct):
1 N 0.008 0.508 0.303
2 N 0.295 0.795 0.303
3 Os 0.750 0.250 0.500
4 Os 0.250 0.750 0.500
5 La 0.750 0.750 0.500
6 N 0.508 0.295 0.303
7 Ac 0.322 0.822 0.000
8 N 0.000 0.000 0.000
9 Ac 0.178 0.322 0.000
10 N 0.492 0.705 0.697
11 Ac 0.822 0.678 0.000
12 N 0.500 0.500 0.000
13 N 0.205 0.992 0.697
14 Ac 0.678 0.178 0.000
15 La 0.250 0.250 0.500
16 N 0.705 0.205 0.697
17 N 0.992 0.492 0.697
18 N 0.795 0.008 0.303

Results
SG = I4/mcm (140)
ΔE_f (raw) = -0.73 eV per atom

5.
Entry from Alexandria via LeMat-Bulk: a geometry-optimized Li3GaGe3 structure (PBE).

Cell: 6.942 6.942 6.267 Å, 92.77 92.77 114.36°
Positions (direct):
1 Li 0.602 0.602 0.329
2 Ge 0.845 0.448 0.635
3 Ge 0.552 0.155 0.365
4 Li 0.886 0.114 0.500
5 Ge 0.107 0.107 0.855
6 Li 0.398 0.398 0.671
7 Li 0.777 0.223 0.000
8 Ge 0.893 0.893 0.145
9 Ge 0.155 0.552 0.365
10 Ga 0.767 0.767 0.752
11 Ga 0.233 0.233 0.248
12 Li 0.223 0.777 0.000
13 Ge 0.448 0.845 0.635
14 Li 0.114 0.886 0.500

Results
SG = C2/m (12)
ΔH_f (0 K) = -11.8 kJ per mole of atoms

6.
Entry from Alexandria via LeMat-Bulk: a geometry-optimized Pm6HfO12 structure (PBE).

Cell: 6.712 6.712 6.712 Å, 98.94 98.94 98.94°
Site moments in Bohr magnetons follow the coordinates.
Positions (direct):
1 O 0.049 0.933 0.695  0.06
2 O 0.951 0.067 0.305  0.06
3 Pm 0.709 0.390 0.863  -0.01
4 O 0.557 0.823 0.415  0.25
5 O 0.823 0.415 0.557  0.25
6 O 0.443 0.177 0.585  0.25
7 O 0.933 0.695 0.049  0.06
8 Pm 0.137 0.291 0.610  -0.01
9 O 0.695 0.049 0.933  0.06
10 Pm 0.291 0.610 0.137  -0.01
11 Pm 0.610 0.137 0.291  -0.01
12 O 0.415 0.557 0.823  0.25
13 Hf 0.000 0.000 0.000  -0.01
14 O 0.177 0.585 0.443  0.25
15 O 0.067 0.305 0.951  0.06
16 Pm 0.863 0.709 0.390  -0.01
17 O 0.305 0.951 0.067  0.06
18 Pm 0.390 0.863 0.709  -0.01
19 O 0.585 0.443 0.177  0.25

Results
SG = R-3 (148)
ΔE_f (raw) = -3.23 eV per atom

7.
Entry from Alexandria via LeMat-Bulk: a geometry-optimized MgMnMo2 structure (PBE).

Cell: 5.168 5.168 2.648 Å, 90.00 90.00 118.38°
Site moments in Bohr magnetons follow the coordinates.
Positions (direct):
1 Mg 0.500 0.000 0.500  0.00
2 Mn 0.000 0.500 0.500  2.72
3 Mo 0.500 0.500 0.000  -0.16
4 Mo 0.000 0.000 0.000  -0.16

Results
SG = Cmmm (65)
ΔH_f (0 K) = 33.5 kJ per mole of atoms

8.
Entry from Alexandria via LeMat-Bulk: a geometry-optimized La4DyMg5 structure (PBE).

Cell: 3.925 3.925 19.680 Å, 90.00 90.00 90.00°
Positions (direct):
1 La 0.000 0.000 0.194
2 Mg 0.500 0.500 0.091
3 La 0.000 0.000 0.398
4 La 0.000 0.000 0.602
5 Mg 0.500 0.500 0.909
6 Dy 0.000 0.000 0.000
7 Mg 0.500 0.500 0.296
8 Mg 0.500 0.500 0.500
9 Mg 0.500 0.500 0.704
10 La 0.000 0.000 0.806

Results
SG = P4/mmm (123)
ΔH_f (0 K) = -10.2 kJ per mole of atoms

9.
Entry from Alexandria via LeMat-Bulk: a geometry-optimized H5PdPtRh structure (PBE).

Cell: 5.188 5.188 6.018 Å, 108.28 108.28 107.00°
Positions (direct):
1 H 0.347 0.295 0.076
2 H 0.029 0.654 0.858
3 H 0.705 0.653 0.424
4 Rh 0.000 0.000 0.000
5 H 0.346 0.971 0.642
6 Pd 0.330 0.670 0.250
7 Pt 0.309 0.691 0.750
8 H 0.295 0.347 0.576
9 H 0.654 0.029 0.358
10 Pt 0.691 0.309 0.250
11 H 0.653 0.705 0.924
12 Rh 0.000 0.000 0.500
13 H 0.107 0.893 0.250
14 H 0.971 0.346 0.142
15 H 0.893 0.107 0.750
16 Pd 0.670 0.330 0.750

Results
Uncorrected energy = -69.84 eV for the cell shown
SG = C2/c (15)

10.
Entry from Alexandria via LeMat-Bulk: a geometry-optimized La4PtSeBr2 structure (PBE).

Cell: 4.211 7.705 7.695 Å, 71.68 90.00 90.00°
Positions (direct):
1 La 0.000 0.716 0.775
2 Pt 0.500 0.500 0.000
3 La 0.500 0.273 0.744
4 Br 0.000 0.000 0.000
5 La 0.500 0.727 0.256
6 Br 0.500 0.000 0.500
7 La 0.000 0.284 0.225
8 Se 0.000 0.500 0.500

Results
SG = P2/m (10)
ΔE_f (raw) = -1.48 eV per atom

11.
Entry from Alexandria via LeMat-Bulk: a geometry-optimized LiZnTe2N structure (PBE).

Cell: 5.897 5.897 3.534 Å, 90.00 90.00 90.00°
Site moments in Bohr magnetons follow the coordinates.
Positions (direct):
1 N 0.000 0.000 0.500  0.86
2 Li 0.500 0.500 0.500  0.00
3 Zn 0.000 0.000 0.000  0.07
4 Te 0.500 0.000 0.000  0.15
5 Te 0.000 0.500 0.000  0.15

Results
SG = P4/mmm (123)
ΔE_f (raw) = 0.46 eV per atom

12.
Entry from Alexandria via LeMat-Bulk: a geometry-optimized Dy2Ho5Sc12 structure (PBE).

Cell: 8.651 8.506 8.214 Å, 92.74 90.00 120.56°
Positions (direct):
1 Sc 0.030 0.705 0.752
2 Dy 0.321 0.000 0.000
3 Sc 0.070 0.140 0.871
4 Sc 0.441 0.259 0.666
5 Sc 0.675 0.705 0.752
6 Ho 0.000 0.000 0.500
7 Ho 0.235 0.469 0.574
8 Sc 0.325 0.295 0.248
9 Dy 0.679 0.000 0.000
10 Ho 0.712 0.425 0.015
11 Sc 0.182 0.741 0.334
12 Sc 0.448 0.895 0.662
13 Sc 0.559 0.741 0.334
14 Ho 0.288 0.575 0.985
15 Sc 0.818 0.259 0.666
16 Ho 0.765 0.531 0.426
17 Sc 0.930 0.860 0.129
18 Sc 0.970 0.295 0.248
19 Sc 0.552 0.105 0.338

Results
SG = C2/m (12)
ΔH_f (0 K) = 12.8 kJ per mole of atoms

13.
Entry from Alexandria via LeMat-Bulk: a geometry-optimized Sr4Pa6O19 structure (PBE).

Cell: 8.800 8.800 8.800 Å, 109.47 109.47 109.47°
Site moments in Bohr magnetons follow the coordinates.
Positions (direct):
1 O 0.739 0.393 0.709  0.00
2 Pa 0.500 0.174 0.674  0.00
3 O 0.393 0.709 0.739  0.00
4 O 0.346 0.316 0.607  0.00
5 O 0.031 0.291 0.684  0.00
6 Pa 0.674 0.500 0.174  0.00
7 Pa 0.826 0.326 0.500  0.00
8 O 0.000 0.630 0.630  0.00
9 O 0.607 0.346 0.316  0.00
10 O 0.370 0.370 0.000  0.00
11 Pa 0.174 0.674 0.500  0.00
12 Sr 0.281 0.281 0.281  0.00
13 O 0.291 0.684 0.031  0.00
14 O 0.316 0.607 0.346  0.00
15 Sr 0.000 0.000 0.719  0.00
16 Sr 0.000 0.719 0.000  0.00
17 O 0.654 0.261 0.969  0.00
18 O 0.684 0.031 0.291  0.00
19 Pa 0.500 0.826 0.326  0.00
20 O 0.630 0.630 0.000  0.00
21 Sr 0.719 0.000 0.000  0.00
22 O 0.000 0.370 0.370  0.00
23 O 0.709 0.739 0.393  0.00
24 O 0.969 0.654 0.261  0.00
25 O 0.261 0.969 0.654  0.00
26 O 0.370 0.000 0.370  0.00
27 O 0.000 0.000 0.000  0.11
28 O 0.630 0.000 0.630  0.00
29 Pa 0.326 0.500 0.826  0.00

Results
SG = I23 (197)
ΔE_f (raw) = -3.40 eV per atom

14.
Entry from Alexandria via LeMat-Bulk: a geometry-optimized KLa3Re structure (PBE).

Cell: 5.359 5.359 5.359 Å, 90.00 90.00 90.00°
Site moments in Bohr magnetons follow the coordinates.
Positions (direct):
1 La 0.500 0.000 0.000  0.10
2 La 0.000 0.500 0.000  0.02
3 K 0.000 0.000 0.000  -0.04
4 Re 0.500 0.500 0.500  -2.28
5 La 0.000 0.000 0.500  0.03

Results
SG = Pm-3m (221)
ΔH_f (0 K) = 181.0 kJ per mole of atoms

15.
Entry from Alexandria via LeMat-Bulk: a geometry-optimized RbNa3Al structure (PBE).

Cell: 6.038 6.038 6.038 Å, 90.00 90.00 90.00°
Positions (direct):
1 Na 0.500 0.000 0.000
2 Na 0.000 0.000 0.500
3 Rb 0.500 0.500 0.500
4 Na 0.000 0.500 0.000
5 Al 0.000 0.000 0.000

Results
SG = Pm-3m (221)
ΔH_f (0 K) = 18.7 kJ per mole of atoms

16.
Entry from Alexandria via LeMat-Bulk: a geometry-optimized Sr2Tl5PdRh2 structure (PBE).

Cell: 4.034 10.999 10.999 Å, 90.00 90.00 90.00°
Positions (direct):
1 Sr 0.000 0.820 0.680
2 Pd 0.000 0.000 0.000
3 Sr 0.000 0.320 0.820
4 Tl 0.500 0.304 0.561
5 Rh 0.000 0.879 0.379
6 Rh 0.000 0.379 0.121
7 Tl 0.500 0.196 0.061
8 Tl 0.500 0.939 0.196
9 Sr 0.000 0.180 0.320
10 Tl 0.500 0.061 0.804
11 Tl 0.500 0.804 0.939
12 Sr 0.000 0.680 0.180
13 Rh 0.000 0.121 0.621
14 Tl 0.500 0.439 0.304
15 Tl 0.500 0.561 0.696
16 Pd 0.000 0.500 0.500
17 Tl 0.500 0.696 0.439
18 Tl 0.500 0.500 0.000
19 Tl 0.500 0.000 0.500
20 Rh 0.000 0.621 0.879

Results
SG = P4/mbm (127)
ΔH_f (0 K) = -16.9 kJ per mole of atoms

17.
Entry from Alexandria via LeMat-Bulk: a geometry-optimized NaTa3Cd structure (PBE).

Cell: 5.082 5.082 5.082 Å, 90.00 90.00 90.00°
Site moments in Bohr magnetons follow the coordinates.
Positions (direct):
1 Ta 0.000 0.500 0.000  0.33
2 Ta 0.000 0.000 0.500  0.40
3 Cd 0.000 0.000 0.000  0.05
4 Na 0.500 0.500 0.500  0.00
5 Ta 0.500 0.000 0.000  0.36

Results
SG = Pm-3m (221)
ΔH_f (0 K) = 219.7 kJ per mole of atoms

18.
Entry from Alexandria via LeMat-Bulk: a geometry-optimized TbCeTe2 structure (PBE).

Cell: 4.257 4.257 8.275 Å, 75.09 75.09 60.00°
Site moments in Bohr magnetons follow the coordinates.
Positions (direct):
1 Te 0.248 0.248 0.257  -0.01
2 Ce 0.670 0.670 0.990  1.04
3 Te 0.085 0.085 0.744  -0.01
4 Tb 0.497 0.497 0.510  -0.06

Results
SG = R3m (160)
ΔE_f (raw) = -1.31 eV per atom

19.
Entry from Alexandria via LeMat-Bulk: a geometry-optimized Li3Tl2GaO6 structure (PBE).

Cell: 5.657 5.657 5.303 Å, 98.37 98.37 121.59°
Positions (direct):
1 O 0.234 0.234 0.762
2 O 0.071 0.364 0.236
3 Li 0.500 0.500 0.500
4 O 0.364 0.071 0.236
5 Tl 0.331 0.669 0.000
6 Tl 0.669 0.331 0.000
7 Li 0.866 0.134 0.500
8 Ga 0.000 0.000 0.000
9 Li 0.134 0.866 0.500
10 O 0.636 0.929 0.764
11 O 0.766 0.766 0.238
12 O 0.929 0.636 0.764

Results
SG = C2/m (12)
ΔE_f (raw) = -1.37 eV per atom

20.
Entry from Alexandria via LeMat-Bulk: a geometry-optimized La2Y12Er structure (PBE).

Cell: 6.530 6.530 24.889 Å, 90.00 90.00 90.00°
Positions (direct):
1 Y 0.751 0.749 0.890
2 Y 0.249 0.749 0.110
3 La 0.500 0.000 0.260
4 Y 0.251 0.751 0.890
5 Er 0.000 0.500 0.000
6 Y 0.669 0.169 0.439
7 Y 0.500 0.500 0.211
8 Y 0.749 0.751 0.110
9 Y 0.500 0.500 0.789
10 Y 0.000 0.000 0.211
11 Y 0.249 0.251 0.890
12 Y 0.831 0.669 0.439
13 Y 0.749 0.249 0.890
14 Y 0.500 0.500 0.663
15 Y 0.000 0.000 0.663
16 La 0.000 0.500 0.740
17 Y 0.669 0.831 0.561
18 Y 0.331 0.831 0.439
19 Y 0.169 0.669 0.561
20 La 0.500 0.000 0.740
21 Y 0.751 0.251 0.110
22 Er 0.500 0.000 0.000
23 Y 0.500 0.500 0.337
24 Y 0.251 0.249 0.110
25 Y 0.000 0.000 0.337
26 Y 0.000 0.000 0.789
27 Y 0.831 0.331 0.561
28 La 0.000 0.500 0.260
29 Y 0.331 0.169 0.561
30 Y 0.169 0.331 0.439

Results
SG = P4/nbm (125)
ΔH_f (0 K) = 36.3 kJ per mole of atoms